Entry 1:
Density functional theory data (PBE) for a geometry-optimized Hf3CN structure.

```
data_Hf3CN
_chemical_formula_sum 'Hf6 C2 N2'
_cell_length_a 3.1626
_cell_length_b 5.6390
_cell_length_c 8.1550
_cell_angle_alpha 90.00
_cell_angle_beta 90.00
_cell_angle_gamma 90.00
_space_group_name_H-M_alt 'P m m n'
_space_group_IT_number 59
loop_
_space_group_symop_operation_xyz
'x,y,z'
'-x,-y,-z'
'-x+1/2,-y+1/2,z'
'x+1/2,y+1/2,-z'
'x+1/2,-y,-z'
'-x+1/2,y,z'
'-x,y+1/2,-z'
'x,-y+1/2,z'
loop_
_atom_site_label
_atom_site_type_symbol
_atom_site_fract_x
_atom_site_fract_y
_atom_site_fract_z
Hf1 Hf 0.2500 0.0038 0.1673
Hf2 Hf 0.2500 0.2500 0.5093
C1 C 0.2500 0.7500 0.6944
N1 N 0.2500 0.2500 0.9455
```

Calculated values
Magnetic moment   0.00 μB/f.u.
Volume   14.54 A^3/atom
Raw formation energy   -3.4 eV per formula unit
E above lowest polymorph   276 meV per atom

Entry 2:
Density functional theory data (PBE) for a geometry-optimized KNaSbBr6 structure.

```
data_KNaSbBr6
_chemical_formula_sum 'K1 Na1 Sb1 Br6'
_cell_length_a 7.4728
_cell_length_b 7.4728
_cell_length_c 7.1182
_cell_angle_alpha 90.00
_cell_angle_beta 90.00
_cell_angle_gamma 120.00
_space_group_name_H-M_alt 'P 3 1 2'
_space_group_IT_number 149
loop_
_space_group_symop_operation_xyz
'x,y,z'
'-y,x-y,z'
'-x+y,-x,z'
'-y,-x,-z'
'-x+y,y,-z'
'x,x-y,-z'
loop_
_atom_site_label
_atom_site_type_symbol
_atom_site_fract_x
_atom_site_fract_y
_atom_site_fract_z
K1 K 0.0000 0.0000 0.0000
Na1 Na 0.3333 0.6667 0.5000
Sb1 Sb 0.6667 0.3333 0.5000
Br1 Br 0.3817 0.0267 0.7234
```

Calculated values
Magnetic moment   0.00 μB/f.u.
Volume   38.25 A^3/atom
Raw formation energy   -8.9 eV per formula unit

Entry 3:
Density functional theory data (PBE) for a geometry-optimized MgZnSi structure.

```
data_MgZnSi
_chemical_formula_sum 'Mg2 Zn2 Si2'
_cell_length_a 3.3378
_cell_length_b 5.4667
_cell_length_c 6.0715
_cell_angle_alpha 91.27
_cell_angle_beta 105.20
_cell_angle_gamma 90.03
_space_group_name_H-M_alt 'P 1'
_space_group_IT_number 1
loop_
_space_group_symop_operation_xyz
'x,y,z'
loop_
_atom_site_label
_atom_site_type_symbol
_atom_site_fract_x
_atom_site_fract_y
_atom_site_fract_z
Mg1 Mg 0.0000 0.0000 0.0000
Mg2 Mg 0.3568 0.5079 0.7128
Zn1 Zn 0.3046 0.0020 0.6095
Zn2 Zn 0.6772 0.2485 0.3523
Si1 Si 0.0578 0.5053 0.1096
Si2 Si 0.6693 0.7384 0.3440
```

Calculated values
Magnetic moment   0.00 μB/f.u.
Volume   17.81 A^3/atom
Raw formation energy   0.3 eV per formula unit

Entry 4:
Density functional theory data (PBE) for a geometry-optimized KAs2Se2 structure.

```
data_KAs2Se2
_chemical_formula_sum 'K2 As4 Se4'
_cell_length_a 5.4310
_cell_length_b 5.4310
_cell_length_c 8.8510
_cell_angle_alpha 90.00
_cell_angle_beta 90.00
_cell_angle_gamma 90.00
_space_group_name_H-M_alt 'I 4/m m m'
_space_group_IT_number 139
_space_group_name_Hall '-I 4 2'
loop_
_atom_site_label
_atom_site_type_symbol
_atom_site_fract_x
_atom_site_fract_y
_atom_site_fract_z
K1 K 0.0000 0.0000 0.0000
As1 As 0.0000 0.0000 0.3529
Se1 Se 0.0000 0.5000 0.2500
```

Calculated values
Magnetic moment   0.00 μB/f.u.
Volume   26.11 A^3/atom
Raw formation energy   -1.0 eV per formula unit
E above lowest polymorph   20 meV per atom

Entry 5:
Density functional theory data (PBE) for a geometry-optimized CaLaCl structure.

```
data_CaLaCl
_chemical_formula_sum 'Ca4 La4 Cl4'
_cell_length_a 7.1589
_cell_length_b 7.1589
_cell_length_c 7.1589
_cell_angle_alpha 90.00
_cell_angle_beta 90.00
_cell_angle_gamma 90.00
_space_group_name_H-M_alt 'F -4 3 m'
_space_group_IT_number 216
_space_group_name_Hall 'F -4 2 3'
loop_
_atom_site_label
_atom_site_type_symbol
_atom_site_fract_x
_atom_site_fract_y
_atom_site_fract_z
Ca1 Ca 0.0000 0.0000 0.0000
La1 La 0.0000 0.0000 0.5000
Cl1 Cl 0.2500 0.2500 0.7500
```

Calculated values
Magnetic moment   0.00 μB/f.u.
Volume   30.57 A^3/atom
Raw formation energy   -1.7 eV per formula unit
E above lowest polymorph   454 meV per atom

Entry 6:
Density functional theory data (PBE) for a geometry-optimized Mn2Ru2Pt structure.

```
data_Mn2Ru2Pt
_chemical_formula_sum 'Mn4 Ru4 Pt2'
_cell_length_a 7.0191
_cell_length_b 7.0191
_cell_length_c 2.6946
_cell_angle_alpha 90.00
_cell_angle_beta 90.00
_cell_angle_gamma 90.00
_space_group_name_H-M_alt 'P 4/m b m'
_space_group_IT_number 127
_space_group_name_Hall '-P 4 2ab'
loop_
_atom_site_label
_atom_site_type_symbol
_atom_site_fract_x
_atom_site_fract_y
_atom_site_fract_z
Mn1 Mn 0.1201 0.3799 0.0000
Ru1 Ru 0.1709 0.6709 0.5000
Pt1 Pt 0.0000 0.0000 0.0000
```

Calculated values
Magnetic moment   0.00 μB/f.u.
Volume   13.28 A^3/atom
Formation enthalpy at 0 K   0.089 eV per atom
E above lowest polymorph   0 meV per atom

Entry 7:
Density functional theory data (PBE) for a geometry-optimized ErPaP2 structure.

```
data_ErPaP2
_chemical_formula_sum 'Er3 Pa3 P6'
_cell_length_a 3.9642
_cell_length_b 3.9642
_cell_length_c 19.3710
_cell_angle_alpha 90.00
_cell_angle_beta 90.00
_cell_angle_gamma 120.00
_space_group_name_H-M_alt 'R -3 m'
_space_group_IT_number 166
_space_group_name_Hall '-R 3 2"'
loop_
_atom_site_label
_atom_site_type_symbol
_atom_site_fract_x
_atom_site_fract_y
_atom_site_fract_z
Er1 Er 0.0000 0.0000 0.0000
Pa1 Pa 0.0000 0.0000 0.5000
P1 P 0.0000 0.0000 0.2498
```

Calculated values
Magnetic moment   0.00 μB/f.u.
Volume   21.97 A^3/atom
Formation enthalpy at 0 K   -1.452 eV per atom
E above lowest polymorph   0 meV per atom

Entry 8:
Density functional theory data (PBE) for a geometry-optimized CaCeBiO2 structure.

```
data_CaCeBiO2
_chemical_formula_sum 'Ca2 Ce2 Bi2 O4'
_cell_length_a 3.9596
_cell_length_b 3.9596
_cell_length_c 13.7933
_cell_angle_alpha 90.00
_cell_angle_beta 90.00
_cell_angle_gamma 90.00
_space_group_name_H-M_alt 'I 4 m m'
_space_group_IT_number 107
_space_group_name_Hall 'I 4 -2'
loop_
_atom_site_label
_atom_site_type_symbol
_atom_site_fract_x
_atom_site_fract_y
_atom_site_fract_z
Ca1 Ca 0.0000 0.0000 0.0000
Ce1 Ce 0.0000 0.0000 0.3395
Bi1 Bi 0.0000 0.0000 0.6708
O1 O 0.0000 0.5000 0.4121
```

Calculated values
Magnetic moment   0.12 μB/f.u.
Volume   21.63 A^3/atom
Raw formation energy   -12.3 eV per formula unit

Entry 9:
Density functional theory data (PBE) for a geometry-optimized LaNiAs2 structure.

```
data_LaNiAs2
_chemical_formula_sum 'La4 Ni4 As8'
_cell_length_a 4.9084
_cell_length_b 4.9084
_cell_length_c 15.5033
_cell_angle_alpha 90.00
_cell_angle_beta 90.00
_cell_angle_gamma 90.00
_space_group_name_H-M_alt 'I -4 2 d'
_space_group_IT_number 122
_space_group_name_Hall 'I -4 2bw'
loop_
_atom_site_label
_atom_site_type_symbol
_atom_site_fract_x
_atom_site_fract_y
_atom_site_fract_z
La1 La 0.0000 0.0000 0.0000
Ni1 Ni 0.0000 0.0000 0.5000
As1 As 0.0905 0.2500 0.6250
```

Calculated values
Magnetic moment   0.00 μB/f.u.
Volume   23.34 A^3/atom
Formation enthalpy at 0 K   -0.640 eV per atom

Entry 10:
Density functional theory data (PBE) for a geometry-optimized MoOsBr2 structure.

```
data_MoOsBr2
_chemical_formula_sum 'Mo2 Os2 Br4'
_cell_length_a 5.8892
_cell_length_b 9.0002
_cell_length_c 3.2668
_cell_angle_alpha 90.00
_cell_angle_beta 121.58
_cell_angle_gamma 90.00
_space_group_name_H-M_alt 'C 1 2/m 1'
_space_group_IT_number 12
loop_
_space_group_symop_operation_xyz
'x,y,z'
'-x,-y,-z'
'-x,y,-z'
'x,-y,z'
'x+1/2,y+1/2,z'
'-x+1/2,-y+1/2,-z'
'-x+1/2,y+1/2,-z'
'x+1/2,-y+1/2,z'
loop_
_atom_site_label
_atom_site_type_symbol
_atom_site_fract_x
_atom_site_fract_y
_atom_site_fract_z
Mo1 Mo 0.0000 0.0000 0.0000
Os1 Os 0.0000 0.5000 0.0000
Br1 Br 0.2500 0.2500 0.0000
```

Calculated values
Magnetic moment   1.33 μB/f.u.
Volume   18.44 A^3/atom
Raw formation energy   5.0 eV per formula unit
E above lowest polymorph   1070 meV per atom

Entry 11:
Density functional theory data (PBE) for a geometry-optimized CaAc3Pr2Te6 structure.

```
data_CaAc3Pr2Te6
_chemical_formula_sum 'Ca2 Ac6 Pr4 Te12'
_cell_length_a 20.1791
_cell_length_b 4.6152
_cell_length_c 9.2924
_cell_angle_alpha 90.00
_cell_angle_beta 103.15
_cell_angle_gamma 90.00
_space_group_name_H-M_alt 'C 1 2/m 1'
_space_group_IT_number 12
loop_
_space_group_symop_operation_xyz
'x,y,z'
'-x,-y,-z'
'-x,y,-z'
'x,-y,z'
'x+1/2,y+1/2,z'
'-x+1/2,-y+1/2,-z'
'-x+1/2,y+1/2,-z'
'x+1/2,-y+1/2,z'
loop_
_atom_site_label
_atom_site_type_symbol
_atom_site_fract_x
_atom_site_fract_y
_atom_site_fract_z
Ca1 Ca 0.0000 0.0000 0.0000
Ac1 Ac 0.0000 0.0000 0.5000
Ac2 Ac 0.1694 0.5000 0.8327
Pr1 Pr 0.1711 0.5000 0.3408
Te1 Te 0.0029 0.5000 0.2383
Te2 Te 0.1604 0.0000 0.0887
Te3 Te 0.1670 0.0000 0.5771
```

Calculated values
Magnetic moment   0.00 μB/f.u.
Volume   35.11 A^3/atom
Raw formation energy   -18.0 eV per formula unit

Entry 12:
Density functional theory data (PBE) for a geometry-optimized Li3MgAg structure.

```
data_Li3MgAg
_chemical_formula_sum 'Li3 Mg1 Ag1'
_cell_length_a 4.8737
_cell_length_b 4.8737
_cell_length_c 4.8737
_cell_angle_alpha 90.00
_cell_angle_beta 90.00
_cell_angle_gamma 90.00
_space_group_name_H-M_alt 'P m -3 m'
_space_group_IT_number 221
_space_group_name_Hall '-P 4 2 3'
loop_
_atom_site_label
_atom_site_type_symbol
_atom_site_fract_x
_atom_site_fract_y
_atom_site_fract_z
Li1 Li 0.0000 0.0000 0.5000
Mg1 Mg 0.5000 0.5000 0.5000
Ag1 Ag 0.0000 0.0000 0.0000
```

Calculated values
Magnetic moment   0.00 μB/f.u.
Volume   23.15 A^3/atom
Formation enthalpy at 0 K   0.137 eV per atom
E above lowest polymorph   263 meV per atom

The records above give, respectively, theoretical density values of 12.82; 3.20; 3.66; 4.41; 3.88; 12.69; 8.70; 6.47; 6.18; 10.04; 6.97; 2.19 Mg/m³.